1.
# Mg8Ni2Pd PBE-GGA optimized geometry
# ΔH_f (0 K): -0.197 eV per atom
data_Mg8Ni2Pd
_chemical_formula_sum 'Mg16 Ni4 Pd2'
_cell_length_a 14.5185
_cell_length_b 4.4399
_cell_length_c 6.6471
_cell_angle_alpha 90.00
_cell_angle_beta 112.57
_cell_angle_gamma 90.00
_symmetry_space_group_name_H-M 'C 1 2/m 1'
_symmetry_Int_Tables_number 12
_symmetry_space_group_name_Hall '-C 2y'
loop_
_atom_site_label
_atom_site_type_symbol
_atom_site_fract_x
_atom_site_fract_y
_atom_site_fract_z
Mg1 Mg 0.0323 0.0000 0.2486
Mg2 Mg 0.1151 0.5000 0.9515
Mg3 Mg 0.1706 0.0000 0.7407
Mg4 Mg 0.1730 0.5000 0.4284
Ni1 Ni 0.1985 0.0000 0.1638
Pd1 Pd 0.0000 0.5000 0.5000

=====

2.
# Al2Pb2Se PBE-GGA optimized geometry
# Energy relative to the lowest polymorph listed for this composition: 0.0000 eV per atom
# Formation energy (no corrections): 53 kJ/mol of formula units
data_Al2Pb2Se
_chemical_formula_sum 'Al4 Pb4 Se2'
_cell_length_a 7.0865
_cell_length_b 7.0865
_cell_length_c 4.9111
_cell_angle_alpha 90.00
_cell_angle_beta 90.00
_cell_angle_gamma 90.00
_symmetry_space_group_name_H-M 'P 4/m b m'
_symmetry_Int_Tables_number 127
_symmetry_space_group_name_Hall '-P 4 2ab'
loop_
_atom_site_label
_atom_site_type_symbol
_atom_site_fract_x
_atom_site_fract_y
_atom_site_fract_z
Al1 Al 0.1353 0.3647 0.0000
Pb1 Pb 0.1770 0.6770 0.5000
Se1 Se 0.0000 0.0000 0.0000

=====

3.
# WBr2 PBE-GGA optimized geometry
# Energy relative to the lowest polymorph listed for this composition: 0.7362 eV per atom
# Formation energy (no corrections): 78 kJ/mol of formula units
data_WBr2
_chemical_formula_sum 'W1 Br2'
_cell_length_a 3.2904
_cell_length_b 3.2904
_cell_length_c 7.5617
_cell_angle_alpha 90.00
_cell_angle_beta 90.00
_cell_angle_gamma 120.00
_symmetry_space_group_name_H-M 'P -3 m 1'
_symmetry_Int_Tables_number 164
_symmetry_space_group_name_Hall '-P 3 2"'
loop_
_atom_site_label
_atom_site_type_symbol
_atom_site_fract_x
_atom_site_fract_y
_atom_site_fract_z
W1 W 0.0000 0.0000 0.0000
Br1 Br 0.3333 0.6667 0.2430